Record 1
Ti2InGaCo | PBE | optimized geometry

abc: 4.5185 4.5154 4.5185
angles: 90.00 90.00 90.00
Positions (direct):
Ti 0.0000 0.0000 0.5000
Ti 0.5000 0.0000 0.0000
Co 0.0000 0.0000 0.0000
Ga 0.0000 0.5000 0.0000
In 0.5000 0.5000 0.5000

Values from the calculation:
The calculation puts the calculated volume at 18.438 Å³/atom. For the formation energy, the calculation gives 0.028 eV per atom. For the total magnetization, the calculation gives 0.0 μB/f.u. The crystal system is tetragonal. Its space group is P4/mmm.

Record 2
AlAg2Ir | PBE | optimized geometry

abc: 4.9769 4.9769 4.8445
angles: 70.11 70.11 35.06
Positions (direct):
Ir 0.2298 0.2298 0.3217
Al 0.5039 0.5039 0.4298
Ag 0.0022 0.0022 0.9607
Ag 0.7641 0.7641 0.7877

Values from the calculation:
The calculation puts the calculated volume at 16.100 Å³/atom. For the formation energy, the calculation gives -0.038 eV per atom. For the total magnetization, the calculation gives 0.0 μB/f.u. The crystal system is monoclinic. Its space group is Cm.